Material: Pu2PaS6
Method: DFT, PBE
State: relaxed

* total energy: -76.73 eV/cell
* energy relative to the lowest polymorph listed for this composition: 0.038 eV/atom
* total magnetic moment: 9.01 μB/cell
* mass density: 8.3 Mg/m³

Cell: 7.2610 7.2610 4.0169 Å, 90.00 90.00 120.00°
With the nearest neighbours (Å) after each atom.
Space group P-62m (No. 189)
Inequivalent atoms, fractional coordinates:
Pu 0.3333 0.6667 0.0000 [2 per cell]  9 S 2.75-2.99
Pa 0.0000 0.0000 0.5000 [1 per cell]  9 S 2.73-2.92
S 0.0000 0.4020 0.5000 [3 per cell]  1 Pa 2.92, 4 Pu 2.99, 6 S 3.20-3.25
S 0.0000 0.7451 0.0000 [3 per cell]  2 Pa 2.73, 2 Pu 2.75

***

Material: HfZrTe
Method: DFT, PBE
State: relaxed

* total energy: -91.97 eV/cell
* energy relative to the lowest polymorph listed for this composition: 0.027 eV/atom
* total magnetic moment: 0.00 μB/cell
* mass density: 9.5 Mg/m³

Cell: 10.9162 3.6415 7.7419 Å, 90.00 116.01 90.00°
With the nearest neighbours (Å) after each atom.
Space group C2/m (No. 12)
Inequivalent atoms, fractional coordinates:
Hf 0.0426 0.0000 0.3179 [4 per cell]  5 Te 3.00-3.04, 2 Zr 3.13, 1 Hf 3.33
Zr 0.1412 0.5000 0.0290 [4 per cell]  3 Zr 2.91-3.18, 3 Te 3.00-3.03, 2 Hf 3.13
Te 0.1726 0.5000 0.6592 [4 per cell]  3 Zr 3.00-3.03, 5 Hf 3.00-3.04

***

Material: Ca2Tl3
Method: DFT, PBE
State: relaxed

* total energy: -37.65 eV/cell
* energy relative to the lowest polymorph listed for this composition: 0.000 eV/atom
* total magnetic moment: 0.00 μB/cell
* mass density: 7.7 Mg/m³

Cell: 5.3470 5.3470 18.0813 Å, 90.00 90.00 120.00°
With the nearest neighbours (Å) after each atom.
Space group R-3m (No. 166, hexagonal axes)
Inequivalent atoms, fractional coordinates:
Ca 0.0000 0.0000 0.1032 [6 per cell]  7 Tl 3.29-3.52
Tl 0.0000 0.0000 0.2982 [6 per cell]  4 Ca 3.32-3.52, 4 Tl 3.34-3.65
Tl 0.0000 0.0000 0.5000 [3 per cell]  6 Ca 3.29, 2 Tl 3.65

***

Material: PmScAgPt
Method: DFT, PBE
State: relaxed

* total energy: -90.74 eV/cell
* total magnetic moment: 0.00 μB/cell
* mass density: 9.4 Mg/m³

Cell: 7.0269 7.0269 7.0269 Å, 90.00 90.00 90.00°
With the nearest neighbours (Å) after each atom.
Space group F-43m (No. 216)
Inequivalent atoms, fractional coordinates:
Pm 0.0000 0.0000 0.0000 [4 per cell]  4 Pt 3.04, 4 Ag 3.04
Sc 0.0000 0.0000 0.5000 [4 per cell]  4 Pt 3.04, 4 Ag 3.04
Ag 0.2500 0.2500 0.7500 [4 per cell]  4 Pm 3.04, 4 Sc 3.04
Pt 0.2500 0.2500 0.2500 [4 per cell]  4 Pm 3.04, 4 Sc 3.04